Record 1
{
  "formula": "CsKCuCl3",
  "functional": "PBE-GGA",
  "state": "relaxed",
  "lattice": [[5.573, 0.000, 0.000], [-2.786, 8.100, -0.059], [0.000, -2.425, 8.829]],
  "species": ["Cl", "Cs", "Cu", "Cl", "Cs", "K", "Cl", "Cu", "Cl", "Cl", "Cl", "K"],
  "fractional_positions": [[0.149, 0.298, 0.336], [0.356, 0.713, 0.930], [0.006, 0.012, 0.271], [0.851, 0.702, 0.664], [0.644, 0.287, 0.070], [0.358, 0.716, 0.431], [0.136, 0.273, 0.801], [0.994, 0.988, 0.729], [0.864, 0.727, 0.199], [0.502, 0.005, 0.274], [0.498, 0.995, 0.726], [0.642, 0.284, 0.569]],
  "volume_a3_per_fu": 198.9,
  "m_tot_mub_per_cell": 0.00,
  "formation_energy_uncorrected_mev_per_atom": -1394,
  "crystal_system": "monoclinic",
  "sg": "C2/m",
  "final_energy_ev_per_fu": -19.95
}



Record 2
{
  "formula": "BaHgPb3",
  "functional": "PBE-GGA",
  "state": "relaxed",
  "lattice": [[-5.665, 0.008, 1.390], [0.045, -5.829, 0.217], [1.389, 0.222, 5.661]],
  "species": ["Ba", "Pb", "Hg", "Pb", "Pb"],
  "fractional_positions": [[0.500, 0.500, 0.500], [0.500, 0.000, 0.000], [0.000, 0.000, 0.000], [0.000, 0.000, 0.500], [0.000, 0.500, 0.000]],
  "n_ef_per_ev_fu": 3.0,
  "volume_a3_per_fu": 198.5,
  "delta_e_f_ev_per_atom": -0.015,
  "m_tot_mub_per_cell": 0.00,
  "polymorph_energy_mev_per_atom": 258.9,
  "crystal_system": "cubic",
  "sg": "Pm-3m",
  "final_energy_ev_per_fu": -13.43
}



Record 3
{
  "formula": "LaHfSe2O",
  "functional": "PBE-GGA",
  "state": "relaxed",
  "lattice": [[3.945, 0.000, 0.000], [0.000, 3.945, 0.000], [0.000, 0.000, 13.884]],
  "species": ["O", "Hf", "Hf", "La", "Se", "Se", "La", "O", "Se", "Se"],
  "fractional_positions": [[0.000, 0.000, 0.500], [0.500, 0.000, 0.096], [0.000, 0.500, 0.904], [0.000, 0.500, 0.407], [0.000, 0.500, 0.104], [0.500, 0.000, 0.896], [0.500, 0.000, 0.593], [0.500, 0.500, 0.500], [0.500, 0.000, 0.281], [0.000, 0.500, 0.719]],
  "n_ef_per_ev_fu": 1.5,
  "volume_a3_per_fu": 108.0,
  "m_tot_mub_per_cell": 0.00,
  "formation_energy_uncorrected_mev_per_atom": -2082,
  "crystal_system": "tetragonal",
  "sg": "P4/nmm",
  "final_energy_ev_per_fu": -37.22
}



Record 4
{
  "formula": "Nd6Tl3Cd",
  "functional": "PBE-GGA",
  "state": "relaxed",
  "lattice": [[-1.651, -1.486, -4.599], [-3.092, -9.404, 4.148], [-9.057, 8.192, 0.606]],
  "species": ["Cd", "Nd", "Tl", "Tl", "Cd", "Nd", "Nd", "Nd", "Nd", "Nd", "Nd", "Nd", "Tl", "Tl", "Nd", "Nd", "Nd", "Nd", "Tl", "Tl"],
  "fractional_positions": [[0.250, 0.981, 0.406], [0.750, 0.795, 0.053], [0.250, 0.818, 0.873], [0.250, 0.691, 0.188], [0.750, 0.019, 0.594], [0.250, 0.792, 0.594], [0.750, 0.208, 0.406], [0.250, 0.025, 0.164], [0.250, 0.528, 0.902], [0.250, 0.411, 0.279], [0.750, 0.792, 0.356], [0.250, 0.205, 0.947], [0.750, 0.182, 0.127], [0.750, 0.548, 0.442], [0.750, 0.975, 0.836], [0.750, 0.589, 0.721], [0.750, 0.472, 0.098], [0.250, 0.208, 0.644], [0.750, 0.309, 0.812], [0.250, 0.452, 0.558]],
  "n_ef_per_ev_fu": 11.5,
  "volume_a3_per_fu": 313.4,
  "delta_e_f_ev_per_atom": -0.256,
  "m_tot_mub_per_cell": 0.00,
  "polymorph_energy_mev_per_atom": 18.7,
  "crystal_system": "monoclinic",
  "sg": "P2_1/m",
  "final_energy_ev_per_fu": -39.18
}



Record 5
{
  "formula": "TbIn3Au2",
  "functional": "PBE-GGA",
  "state": "relaxed",
  "lattice": [[4.417, 0.000, 0.000], [0.000, 7.494, 0.000], [0.000, 0.000, 8.444]],
  "species": ["In", "Tb", "In", "Au", "In", "In", "In", "Au", "Tb", "In", "Au", "Au"],
  "fractional_positions": [[0.000, 0.861, 0.699], [0.500, 0.027, 0.420], [0.500, 0.645, 0.192], [0.500, 0.257, 0.117], [0.000, 0.469, 0.906], [0.000, 0.969, 0.094], [0.000, 0.361, 0.301], [0.500, 0.757, 0.883], [0.500, 0.527, 0.580], [0.500, 0.145, 0.808], [0.000, 0.741, 0.387], [0.000, 0.241, 0.613]],
  "n_ef_per_ev_fu": 2.7,
  "volume_a3_per_fu": 139.8,
  "delta_e_f_ev_per_atom": -0.439,
  "m_tot_mub_per_cell": 0.00,
  "crystal_system": "orthorhombic",
  "sg": "Pmc2_1",
  "final_energy_ev_per_fu": -22.03
}



Record 6
{
  "formula": "Sr2CeMg2Bi4",
  "functional": "PBE-GGA",
  "state": "relaxed",
  "lattice": [[-2.944, 3.296, 1.736], [-5.135, -5.742, 2.192], [6.922, -0.053, 5.348]],
  "species": ["Sr", "Bi", "Mg", "Bi", "Bi", "Bi", "Ce", "Mg", "Sr"],
  "fractional_positions": [[0.869, 0.421, 0.737], [0.499, 0.272, 0.998], [0.326, 0.008, 0.651], [0.791, 0.775, 0.583], [0.209, 0.225, 0.417], [0.501, 0.728, 0.002], [0.000, 0.000, 0.000], [0.674, 0.992, 0.349], [0.131, 0.579, 0.263]],
  "n_ef_per_ev_fu": 5.0,
  "volume_a3_per_fu": 300.1,
  "delta_e_f_ev_per_atom": -0.675,
  "m_tot_mub_per_cell": 0.47,
  "crystal_system": "monoclinic",
  "sg": "C2/m",
  "final_energy_ev_per_fu": -34.08
}



Record 7
{
  "formula": "AgW2Br",
  "functional": "PBE-GGA",
  "state": "relaxed",
  "lattice": [[-2.528, 3.499, -3.772], [-5.346, 1.921, 0.769], [5.421, -0.374, 1.826]],
  "species": ["W", "Ag", "W", "Br"],
  "fractional_positions": [[0.018, 0.018, 0.000], [0.750, 0.250, 0.500], [0.482, 0.482, 0.000], [0.250, 0.750, 0.500]],
  "n_ef_per_ev_fu": 2.7,
  "volume_a3_per_fu": 70.9,
  "m_tot_mub_per_cell": 0.00,
  "polymorph_energy_mev_per_atom": 619.7,
  "formation_energy_uncorrected_mev_per_atom": 1116,
  "crystal_system": "orthorhombic",
  "sg": "Immm",
  "final_energy_ev_per_fu": -25.97
}



Record 8
{
  "formula": "TmGa4Pt4",
  "functional": "PBE-GGA",
  "state": "relaxed",
  "lattice": [[4.866, 0.000, 0.000], [0.000, 8.536, 0.000], [0.000, 0.000, 8.536]],
  "species": ["Ga", "Pt", "Tm", "Pt", "Tm", "Pt", "Pt", "Pt", "Ga", "Pt", "Ga", "Ga", "Pt", "Ga", "Ga", "Ga", "Pt", "Ga"],
  "fractional_positions": [[0.500, 0.624, 0.101], [0.000, 0.704, 0.162], [0.000, 0.000, 0.000], [0.500, 0.204, 0.662], [0.500, 0.500, 0.500], [0.000, 0.162, 0.296], [0.000, 0.296, 0.838], [0.000, 0.838, 0.704], [0.000, 0.399, 0.124], [0.500, 0.662, 0.796], [0.000, 0.876, 0.399], [0.500, 0.899, 0.624], [0.500, 0.338, 0.204], [0.500, 0.376, 0.899], [0.000, 0.124, 0.601], [0.000, 0.601, 0.876], [0.500, 0.796, 0.338], [0.500, 0.101, 0.376]],
  "n_ef_per_ev_fu": 4.3,
  "volume_a3_per_fu": 177.3,
  "delta_e_f_ev_per_atom": -0.629,
  "m_tot_mub_per_cell": 0.00,
  "crystal_system": "tetragonal",
  "sg": "I4/m",
  "final_energy_ev_per_fu": -46.40
}



Record 9
{
  "formula": "U2NiS6",
  "functional": "PBE-GGA",
  "state": "relaxed",
  "lattice": [[-3.973, -4.177, 1.973], [4.471, -2.824, 3.026], [-2.084, 6.143, 8.811]],
  "species": ["S", "S", "S", "S", "U", "S", "S", "U", "S", "S", "S", "S", "U", "Ni", "Ni", "U", "S", "S"],
  "fractional_positions": [[0.302, 0.302, 0.147], [0.802, 0.198, 0.647], [0.694, 0.694, 0.500], [0.194, 0.806, 0.000], [0.000, 0.000, 0.821], [0.198, 0.802, 0.647], [0.698, 0.698, 0.147], [0.500, 0.500, 0.679], [0.302, 0.302, 0.853], [0.198, 0.802, 0.353], [0.306, 0.306, 0.500], [0.806, 0.194, 0.000], [0.000, 0.000, 0.179], [0.500, 0.500, 0.000], [0.000, 0.000, 0.500], [0.500, 0.500, 0.321], [0.698, 0.698, 0.853], [0.802, 0.198, 0.353]],
  "n_ef_per_ev_fu": 7.4,
  "volume_a3_per_fu": 203.1,
  "m_tot_mub_per_cell": 0.12,
  "formation_energy_uncorrected_mev_per_atom": -909,
  "crystal_system": "tetragonal",
  "sg": "P4_2/mnm",
  "final_energy_ev_per_fu": -61.30
}



Record 10
{
  "formula": "LiAc2MnGe6",
  "functional": "PBE-GGA",
  "state": "relaxed",
  "lattice": [[6.356, 0.000, 0.000], [3.178, 5.504, 0.000], [3.178, 1.835, 12.310]],
  "species": ["Ge", "Ge", "Ac", "Mn", "Ge", "Ge", "Ge", "Ge", "Ac", "Ac", "Ge", "Li", "Ge", "Ge", "Ge", "Li", "Ge", "Mn", "Ac", "Ge"],
  "fractional_positions": [[0.350, 0.770, 0.111], [0.650, 0.230, 0.889], [0.887, 0.887, 0.339], [0.500, 0.500, 0.500], [0.770, 0.770, 0.111], [0.336, 0.336, 0.399], [0.336, 0.928, 0.399], [0.230, 0.230, 0.889], [0.113, 0.113, 0.661], [0.713, 0.713, 0.860], [0.770, 0.350, 0.111], [0.573, 0.573, 0.282], [0.664, 0.072, 0.601], [0.928, 0.336, 0.399], [0.072, 0.664, 0.601], [0.427, 0.427, 0.718], [0.664, 0.664, 0.601], [0.000, 0.000, 0.000], [0.287, 0.287, 0.140], [0.230, 0.650, 0.889]],
  "n_ef_per_ev_fu": 4.9,
  "volume_a3_per_fu": 215.3,
  "delta_e_f_ev_per_atom": -0.387,
  "m_tot_mub_per_cell": 4.25,
  "crystal_system": "trigonal",
  "sg": "R-3m",
  "final_energy_ev_per_fu": -50.88
}



Record 11
{
  "formula": "Tb2Pm3Sn6",
  "functional": "PBE-GGA",
  "state": "relaxed",
  "lattice": [[5.827, 0.000, 0.000], [0.000, 5.827, 0.000], [-2.913, -2.913, 11.058]],
  "species": ["Pm", "Pm", "Sn", "Tb", "Sn", "Pm", "Tb", "Sn", "Sn", "Sn", "Sn"],
  "fractional_positions": [[0.000, 0.000, 0.000], [0.848, 0.848, 0.696], [0.708, 0.708, 0.415], [0.425, 0.425, 0.851], [0.573, 0.073, 0.147], [0.152, 0.152, 0.304], [0.575, 0.575, 0.149], [0.427, 0.927, 0.853], [0.292, 0.292, 0.585], [0.927, 0.427, 0.853], [0.073, 0.573, 0.147]],
  "n_ef_per_ev_fu": 7.4,
  "volume_a3_per_fu": 375.5,
  "delta_e_f_ev_per_atom": -0.237,
  "m_tot_mub_per_cell": 0.00,
  "crystal_system": "tetragonal",
  "sg": "I4/mmm",
  "final_energy_ev_per_fu": -50.14
}



Record 12
{
  "formula": "VZn2Ge2",
  "functional": "PBE-GGA",
  "state": "relaxed",
  "lattice": [[-2.363, -5.031, -3.682], [2.653, -4.375, 4.274], [-3.132, 0.028, 1.972]],
  "species": ["Ge", "Zn", "V", "V", "Zn", "Ge", "Zn", "Ge", "Zn", "Ge"],
  "fractional_positions": [[0.144, 0.356, 0.000], [0.339, 0.161, 0.500], [0.000, 0.000, 0.000], [0.500, 0.500, 0.000], [0.839, 0.339, 0.500], [0.644, 0.144, 0.000], [0.161, 0.661, 0.500], [0.856, 0.644, 0.000], [0.661, 0.839, 0.500], [0.356, 0.856, 0.000]],
  "n_ef_per_ev_fu": 3.1,
  "volume_a3_per_fu": 82.3,
  "delta_e_f_ev_per_atom": 0.206,
  "m_tot_mub_per_cell": 2.58,
  "crystal_system": "tetragonal",
  "sg": "P4/mbm",
  "final_energy_ev_per_fu": -19.87
}